Here is Na4Sn3Pt2 after structural relaxation from the Alexandria database. Energies are from PBE.

The energy relative to the elements comes out at -0.339 eV/atom. Its calculated density is 6.1 g/cm³.

The structure belongs to space group C2/m (No. 12); the cell edges are 15.504, 4.164 and 7.685 Å and the angles 90.00°, 112.52° and 90.00°. The asymmetric unit holds Na at (0.119, 0.000, 0.366), Na at (0.230, 0.500, 0.142), Sn at (0.000, 0.500, 0.000), Sn at (0.092, 0.500, 0.673) and Pt at (0.079, 0.000, 0.894).